Below is a relaxed NiSnSb3 crystal, with properties calculated at the GGA-PBE level.

Cell: 5.3714 5.2697 9.3403 Å, 97.43 80.76 75.86°
Positions (direct):
Ni 0.3088 0.7093 0.2084
Ni 0.6912 0.2907 0.7916
Sn 0.1669 0.2536 0.2408
Sn 0.8331 0.7464 0.7592
Sb 0.7273 0.2961 0.5119
Sb 0.2727 0.7039 0.4881
Sb 0.7157 0.3017 0.0677
Sb 0.2843 0.6983 0.9323
Sb 0.7467 0.8512 0.2514
Sb 0.2533 0.1488 0.7486

relative energy among the computed polymorphs	0.000	eV/atom
raw formation energy	0.01	eV per atom

---

Below is a relaxed SrPr3In4 crystal, with properties calculated at the GGA-PBE level.

Cell: 5.5704 7.8851 11.1389 Å, 90.00 90.00 90.00°
Positions (direct):
Pr 0.0000 0.0000 0.0000
Pr 0.0000 0.0000 0.5000
Pr 0.5004 0.0000 0.7500
Pr 0.4996 0.0000 0.2500
Pr 0.5004 0.5000 0.7500
Pr 0.4996 0.5000 0.2500
Sr 0.0000 0.5000 0.0000
Sr 0.0000 0.5000 0.5000
In 0.5000 0.7546 0.0000
In 0.5000 0.7546 0.5000
In 0.5000 0.2454 0.0000
In 0.5000 0.2454 0.5000
In 0.0005 0.7545 0.7500
In 0.9995 0.7545 0.2500
In 0.9995 0.2455 0.2500
In 0.0005 0.2455 0.7500

E_form	-457	meV per atom

---

Below is a relaxed PSe3 crystal, with properties calculated at the GGA-PBE level.

Cell: 3.3324 3.3324 6.9436 Å, 90.00 90.00 90.00°
Positions (direct):
P 0.0000 0.0000 0.0000
Se 0.5000 0.5000 0.2145
Se 0.0000 0.0000 0.5000
Se 0.5000 0.5000 0.7855

relative energy among the computed polymorphs	0.408	eV/atom
raw formation energy	0.64	eV per atom

---

Below is a relaxed SrBrO4 crystal, with properties calculated at the GGA-PBE level.

Cell: 6.1311 7.7182 8.5302 Å, 90.00 90.00 90.00°
Each line ends with the local moment (μB).
Positions (direct):
Sr 0.2500 0.2464 0.2473  0.01
Sr 0.7500 0.7536 0.7527  0.01
Sr 0.2500 0.2536 0.7473  0.01
Sr 0.7500 0.7464 0.2527  0.01
Br 0.7500 0.2962 0.9974  0.05
Br 0.2500 0.7962 0.5026  0.05
Br 0.7500 0.2038 0.4974  0.05
Br 0.2500 0.7038 0.0026  0.05
O 0.2500 0.9212 0.3398  0.02
O 0.7500 0.0788 0.6602  0.02
O 0.5357 0.7779 0.0031  0.17
O 0.2500 0.5751 0.1629  0.02
O 0.7500 0.4212 0.1602  0.02
O 0.9643 0.7779 0.0031  0.17
O 0.2500 0.5788 0.8398  0.02
O 0.0357 0.2779 0.4969  0.17
O 0.0357 0.2221 0.9969  0.17
O 0.7500 0.0751 0.3371  0.02
O 0.9643 0.7221 0.5031  0.17
O 0.7500 0.4249 0.8371  0.02
O 0.4643 0.2221 0.9969  0.17
O 0.2500 0.9249 0.6629  0.02
O 0.5357 0.7221 0.5031  0.17
O 0.4643 0.2779 0.4969  0.17

relative energy among the computed polymorphs	0.000	eV/atom
raw formation energy	-0.79	eV per atom